Below is a crystal of ErB2C2 relaxed with PBEsol, with properties calculated at the meta-GGA SCAN level.

a b c (Å): 3.4355 5.3162 5.3162
angles (deg): 90.00 90.00 90.00
Last column: nearest neighbours and their distance in Å.
Sites, in units of the cell vectors:
B1 0.5000 0.8643 0.3643  3 C 1.52-1.59
B2 0.5000 0.6357 0.8643  3 C 1.52-1.59
B3 0.5000 0.1357 0.6357  3 C 1.52-1.59
B4 0.5000 0.3643 0.1357  3 C 1.52-1.59
C1 0.5000 0.8373 0.6627  3 B 1.52-1.59
C2 0.5000 0.3373 0.8373  3 B 1.52-1.59
C3 0.5000 0.1627 0.3373  3 B 1.52-1.59
C4 0.5000 0.6627 0.1627  3 B 1.52-1.59
Er1 0.0000 0.5000 0.5000  8 C 2.63, 8 B 2.69
Er2 0.0000 0.0000 0.0000  8 C 2.63, 8 B 2.69

Calculated values
formation energy from the elements	-0.549	eV/atom
symmetry	P4/mbm, No. 127



Below is a crystal of YZrAl2 relaxed with PBEsol, with properties calculated at the meta-GGA SCAN level.

a b c (Å): 3.1421 4.0976 6.3842
angles (deg): 90.00 90.00 90.00
Last column: nearest neighbours and their distance in Å.
Sites, in units of the cell vectors:
Zr1 0.5000 0.5000 0.5000  8 Al 2.95, 2 Zr 3.14, 2 Y 3.19
Al1 0.0000 0.0000 0.2768  3 Al 2.85-3.14, 4 Zr 2.95, 4 Y 3.13
Al2 0.0000 0.0000 0.7232  3 Al 2.85-3.14, 4 Zr 2.95, 4 Y 3.13
Y1 0.5000 0.5000 0.0000  8 Al 3.13, 2 Y 3.14, 2 Zr 3.19

Calculated values
formation energy from the elements	-0.422	eV/atom
symmetry	Pmmm, No. 47



Quick rundown of N(E_F), same order as above: 0.70, 2.42 states/eV/f.u.